A plane-wave DFT calculation with GGA-PBE was carried out for a geometry-optimized Sr2AcInSe5 structure.

The structure in CIF format:
```
data_Sr2AcInSe5
_cell_length_a 4.3336
_cell_length_b 10.0090
_cell_length_c 12.9522
_cell_angle_alpha 90.00
_cell_angle_beta 90.00
_cell_angle_gamma 102.50
_space_group_name_H-M_alt 'P 1'
_space_group_IT_number 1
loop_
_space_group_symop_operation_xyz
'x,y,z'
loop_
_atom_site_label
_atom_site_type_symbol
_atom_site_fract_x
_atom_site_fract_y
_atom_site_fract_z
Ac1 Ac 0.2122 0.4243 0.0191
Se1 Se 0.6338 0.2675 0.5034
Sr1 Sr 0.8897 0.7795 0.1799
Se2 Se 0.6762 0.3523 0.8539
Se3 Se 0.2911 0.5823 0.6848
Se4 Se 0.7089 0.4177 0.1848
In1 In 0.4504 0.9007 0.4419
Se5 Se 0.4938 0.9876 0.7639
Sr2 Sr 0.1211 0.2421 0.3171
Se6 Se 0.5062 0.0124 0.2639
Ac2 Ac 0.7878 0.5757 0.5191
Se7 Se 0.9541 0.9083 0.5601
Sr3 Sr 0.1103 0.2205 0.6799
In2 In 0.5496 0.0993 0.9419
Se8 Se 0.3238 0.6477 0.3539
Se9 Se 0.0459 0.0917 0.0601
Se10 Se 0.3662 0.7325 0.0034
Sr4 Sr 0.8789 0.7579 0.8171
```

Summary:
formation energy from raw total energies	-1.596	eV/atom

---

A plane-wave DFT calculation with GGA-PBE was carried out for a geometry-optimized AlRe2Ir structure.

The structure in CIF format:
```
data_AlRe2Ir
_cell_length_a 5.8499
_cell_length_b 5.8499
_cell_length_c 6.6879
_cell_angle_alpha 64.07
_cell_angle_beta 64.07
_cell_angle_gamma 90.00
_space_group_name_H-M_alt 'P 1'
_space_group_IT_number 1
loop_
_space_group_symop_operation_xyz
'x,y,z'
loop_
_atom_site_label
_atom_site_type_symbol
_atom_site_fract_x
_atom_site_fract_y
_atom_site_fract_z
Re1 Re 0.3750 0.3576 0.7500
Re2 Re 0.6424 0.1250 0.2500
Ir1 Ir 0.0000 0.0000 0.0000
Re3 Re 0.1076 0.6250 0.2500
Ir2 Ir 0.7500 0.2500 0.5000
Al1 Al 0.5000 0.5000 0.0000
Re4 Re 0.8750 0.8924 0.7500
Al2 Al 0.2500 0.7500 0.5000
```

Summary:
ΔE_f	1.47	eV per atom

---

A plane-wave DFT calculation with GGA-PBE was carried out for a geometry-optimized Rb2UTlS5 structure.

The structure in CIF format:
```
data_Rb2UTlS5
_cell_length_a 4.1201
_cell_length_b 9.8530
_cell_length_c 14.3635
_cell_angle_alpha 90.00
_cell_angle_beta 90.00
_cell_angle_gamma 102.07
_space_group_name_H-M_alt 'P 1'
_space_group_IT_number 1
loop_
_space_group_symop_operation_xyz
'x,y,z'
loop_
_atom_site_label
_atom_site_type_symbol
_atom_site_fract_x
_atom_site_fract_y
_atom_site_fract_z
Tl1 Tl 0.4438 0.8875 0.4333
S1 S 0.5002 0.0004 0.2850
U1 U 0.2106 0.4212 0.0234
S2 S 0.0670 0.1341 0.0470
S3 S 0.4998 0.9996 0.7850
S4 S 0.9330 0.8659 0.5470
S5 S 0.3367 0.6734 0.0034
Rb1 Rb 0.1084 0.2168 0.6748
S6 S 0.6633 0.3266 0.5034
Tl2 Tl 0.5562 0.1125 0.9333
Rb2 Rb 0.8916 0.7832 0.1748
Rb3 Rb 0.8669 0.7339 0.8162
S7 S 0.6975 0.3950 0.9015
Rb4 Rb 0.1331 0.2661 0.3162
S8 S 0.3025 0.6050 0.4015
S9 S 0.2881 0.5761 0.6394
S10 S 0.7119 0.4239 0.1394
U2 U 0.7894 0.5788 0.5234
```

Summary:
formation energy from raw total energies	-0.984	eV/atom

---

A plane-wave DFT calculation with GGA-PBE was carried out for a geometry-optimized CrTe structure.

The structure in CIF format:
```
data_CrTe
_cell_length_a 8.0279
_cell_length_b 8.0279
_cell_length_c 3.2528
_cell_angle_alpha 90.00
_cell_angle_beta 90.00
_cell_angle_gamma 156.61
_space_group_name_H-M_alt 'P 1'
_space_group_IT_number 1
loop_
_space_group_symop_operation_xyz
'x,y,z'
loop_
_atom_site_label
_atom_site_type_symbol
_atom_site_fract_x
_atom_site_fract_y
_atom_site_fract_z
Cr1 Cr 0.7914 0.2086 0.7500
Te1 Te 0.3832 0.6168 0.2500
Cr2 Cr 0.2086 0.7914 0.2500
Te2 Te 0.6168 0.3832 0.7500
```

Summary:
formation energy from raw total energies	0.232	eV/atom

---

A plane-wave DFT calculation with GGA-PBE was carried out for a geometry-optimized TaTi2Si structure.

The structure in CIF format:
```
data_TaTi2Si
_cell_length_a 7.3698
_cell_length_b 7.3698
_cell_length_c 5.8056
_cell_angle_alpha 50.60
_cell_angle_beta 50.60
_cell_angle_gamma 90.00
_space_group_name_H-M_alt 'P 1'
_space_group_IT_number 1
loop_
_space_group_symop_operation_xyz
'x,y,z'
loop_
_atom_site_label
_atom_site_type_symbol
_atom_site_fract_x
_atom_site_fract_y
_atom_site_fract_z
Ti1 Ti 0.3750 0.4095 0.7500
Si1 Si 0.2500 0.7500 0.5000
Ti2 Ti 0.5905 0.1250 0.2500
Ti3 Ti 0.1595 0.6250 0.2500
Si2 Si 0.5000 0.5000 0.0000
Ta1 Ta 0.7500 0.2500 0.5000
Ti4 Ti 0.8750 0.8405 0.7500
Ta2 Ta 0.0000 0.0000 0.0000
```

Summary:
formation energy from raw total energies	0.172	eV/atom

---

A plane-wave DFT calculation with GGA-PBE was carried out for a geometry-optimized TmTc2N4 structure.

The structure in CIF format:
```
data_TmTc2N4
_cell_length_a 3.1732
_cell_length_b 5.1045
_cell_length_c 9.9877
_cell_angle_alpha 90.00
_cell_angle_beta 90.00
_cell_angle_gamma 108.11
_space_group_name_H-M_alt 'P 1'
_space_group_IT_number 1
loop_
_space_group_symop_operation_xyz
'x,y,z'
loop_
_atom_site_label
_atom_site_type_symbol
_atom_site_fract_x
_atom_site_fract_y
_atom_site_fract_z
Tc1 Tc 0.8860 0.7719 0.5646
Tc2 Tc 0.1140 0.2281 0.4354
Tc3 Tc 0.1140 0.2281 0.0646
Tm1 Tm 0.6294 0.2588 0.7500
N1 N 0.2368 0.4735 0.6079
N2 N 0.7632 0.5265 0.1079
Tm2 Tm 0.3706 0.7412 0.2500
N3 N 0.5000 0.0000 0.5000
N4 N 0.9389 0.8778 0.7500
N5 N 0.0611 0.1222 0.2500
Tc4 Tc 0.8860 0.7719 0.9354
N6 N 0.5000 0.0000 0.0000
N7 N 0.7632 0.5265 0.3921
N8 N 0.2368 0.4735 0.8921
```

Summary:
formation energy from raw total energies	-0.435	eV/atom

---

A plane-wave DFT calculation with GGA-PBE was carried out for a geometry-optimized Ho2MnGa structure.

The structure in CIF format:
```
data_Ho2MnGa
_cell_length_a 3.3274
_cell_length_b 3.3274
_cell_length_c 10.4374
_cell_angle_alpha 80.83
_cell_angle_beta 80.83
_cell_angle_gamma 60.00
_space_group_name_H-M_alt 'P 1'
_space_group_IT_number 1
loop_
_space_group_symop_operation_xyz
'x,y,z'
loop_
_atom_site_label
_atom_site_type_symbol
_atom_site_fract_x
_atom_site_fract_y
_atom_site_fract_z
Mn1 Mn 0.0000 0.0000 0.0000
Ga1 Ga 0.5000 0.5000 0.5000
Ho1 Ho 0.9078 0.9078 0.2766
Ho2 Ho 0.0922 0.0922 0.7234
```

Summary:
offset from the most stable computed form	528	meV per atom
ΔE_f	0.32	eV per atom

---

A plane-wave DFT calculation with GGA-PBE was carried out for a geometry-optimized LiCaSn structure.

The structure in CIF format:
```
data_LiCaSn
_cell_length_a 4.9534
_cell_length_b 8.5758
_cell_length_c 14.1041
_cell_angle_alpha 90.00
_cell_angle_beta 90.00
_cell_angle_gamma 90.00
_space_group_name_H-M_alt 'P 1'
_space_group_IT_number 1
loop_
_space_group_symop_operation_xyz
'x,y,z'
loop_
_atom_site_label
_atom_site_type_symbol
_atom_site_fract_x
_atom_site_fract_y
_atom_site_fract_z
Li1 Li 0.5000 0.0834 0.3636
Sn1 Sn 0.0000 0.9168 0.3832
Ca1 Ca 0.0000 0.2503 0.0000
Ca2 Ca 0.5000 0.7497 0.5000
Li2 Li 0.5000 0.4166 0.1374
Sn2 Sn 0.0000 0.5831 0.8828
Ca3 Ca 0.0000 0.2495 0.7500
Sn3 Sn 0.0000 0.5831 0.1172
Ca4 Ca 0.5000 0.7505 0.7500
Sn4 Sn 0.5000 0.4169 0.6172
Li3 Li 0.0000 0.5834 0.3626
Li4 Li 0.0000 0.9166 0.1364
Li5 Li 0.0000 0.9166 0.8636
Sn5 Sn 0.5000 0.0832 0.1168
Li6 Li 0.5000 0.4166 0.8626
Sn6 Sn 0.5000 0.0832 0.8832
Sn7 Sn 0.0000 0.9168 0.6168
Sn8 Sn 0.5000 0.4169 0.3828
Ca5 Ca 0.0000 0.2495 0.2500
Li7 Li 0.5000 0.0834 0.6364
Ca6 Ca 0.0000 0.2507 0.5000
Ca7 Ca 0.5000 0.7505 0.2500
Li8 Li 0.0000 0.5834 0.6374
Ca8 Ca 0.5000 0.7493 0.0000
```

Summary:
ΔE_f	-0.57	eV per atom

---

A plane-wave DFT calculation with GGA-PBE was carried out for a geometry-optimized KWBr2 structure.

The structure in CIF format:
```
data_KWBr2
_cell_length_a 4.2081
_cell_length_b 3.2481
_cell_length_c 7.0609
_cell_angle_alpha 90.01
_cell_angle_beta 90.00
_cell_angle_gamma 90.00
_space_group_name_H-M_alt 'P 1'
_space_group_IT_number 1
loop_
_space_group_symop_operation_xyz
'x,y,z'
loop_
_atom_site_label
_atom_site_type_symbol
_atom_site_fract_x
_atom_site_fract_y
_atom_site_fract_z
Br1 Br 0.0000 0.7497 0.5304
K1 K 0.5000 0.2500 0.2500
Br2 Br 0.0000 0.7503 0.9696
W1 W 0.5000 0.7500 0.7500
```

Summary:
offset from the most stable computed form	0	meV per atom
formation energy from raw total energies	0.186	eV/atom

---

A plane-wave DFT calculation with GGA-PBE was carried out for a geometry-optimized Zr3Au5S12 structure.

The structure in CIF format:
```
data_Zr3Au5S12
_cell_length_a 12.9321
_cell_length_b 12.9321
_cell_length_c 12.9321
_cell_angle_alpha 109.47
_cell_angle_beta 109.47
_cell_angle_gamma 109.47
_space_group_name_H-M_alt 'P 1'
_space_group_IT_number 1
loop_
_space_group_symop_operation_xyz
'x,y,z'
loop_
_atom_site_label
_atom_site_type_symbol
_atom_site_fract_x
_atom_site_fract_y
_atom_site_fract_z
S1 S 0.2766 0.8617 0.9459
Au1 Au 0.5000 0.0000 0.5000
S2 S 0.0851 0.1693 0.2234
S3 S 0.6693 0.4459 0.5842
Zr1 Zr 0.1250 0.8750 0.7500
S4 S 0.7766 0.3307 0.9149
S5 S 0.8307 0.9149 0.2766
S6 S 0.0851 0.9158 0.3617
S7 S 0.5851 0.7234 0.6693
S8 S 0.3307 0.5541 0.4158
Zr2 Zr 0.7500 0.3750 0.1250
Zr3 Zr 0.1250 0.2500 0.8750
Zr4 Zr 0.6250 0.3750 0.7500
Au2 Au 0.0000 0.0000 0.0000
S9 S 0.2234 0.5541 0.6383
Zr5 Zr 0.3750 0.6250 0.2500
S10 S 0.5842 0.9459 0.6693
Au3 Au 0.3750 0.1250 0.7500
S11 S 0.6383 0.0541 0.2234
S12 S 0.3617 0.9459 0.7766
S13 S 0.4459 0.7766 0.8617
Au4 Au 0.8750 0.2500 0.6250
Au5 Au 0.1250 0.3750 0.2500
S14 S 0.8617 0.5851 0.9158
S15 S 0.1383 0.7234 0.5541
S16 S 0.1383 0.4149 0.0842
Au6 Au 0.0000 0.5000 0.5000
S17 S 0.0541 0.6383 0.7234
S18 S 0.3617 0.4158 0.0851
S19 S 0.0842 0.9149 0.1383
Au7 Au 0.0000 0.5000 0.0000
Au8 Au 0.6250 0.7500 0.8750
Zr6 Zr 0.3750 0.7500 0.6250
S20 S 0.8617 0.2766 0.4459
Zr7 Zr 0.7500 0.8750 0.6250
S21 S 0.5842 0.6383 0.4149
Zr8 Zr 0.2500 0.6250 0.8750
S22 S 0.2234 0.6693 0.0851
S23 S 0.6693 0.2234 0.5851
S24 S 0.9459 0.5842 0.1693
S25 S 0.0541 0.4158 0.8307
S26 S 0.1693 0.0851 0.7234
Au9 Au 0.7500 0.1250 0.8750
Zr9 Zr 0.8750 0.7500 0.1250
Au10 Au 0.8750 0.6250 0.7500
Au11 Au 0.6250 0.8750 0.2500
S27 S 0.5851 0.8617 0.4158
S28 S 0.4459 0.6693 0.0842
Zr10 Zr 0.6250 0.2500 0.3750
Zr11 Zr 0.8750 0.1250 0.2500
S29 S 0.9149 0.0842 0.6383
S30 S 0.2766 0.4149 0.8307
S31 S 0.8307 0.9158 0.0541
S32 S 0.4149 0.1383 0.5842
S33 S 0.5541 0.3307 0.9158
S34 S 0.0842 0.1693 0.4459
Au12 Au 0.7500 0.6250 0.3750
Au13 Au 0.1250 0.7500 0.3750
S35 S 0.7234 0.5851 0.1693
S36 S 0.7766 0.4459 0.3617
Zr12 Zr 0.2500 0.1250 0.3750
Au14 Au 0.3750 0.2500 0.1250
Au15 Au 0.5000 0.0000 0.0000
S37 S 0.4158 0.0541 0.3307
S38 S 0.9459 0.3617 0.2766
S39 S 0.9158 0.8307 0.5541
Au16 Au 0.5000 0.5000 0.5000
Au17 Au 0.5000 0.5000 0.0000
Au18 Au 0.0000 0.0000 0.5000
Au19 Au 0.2500 0.3750 0.6250
S40 S 0.6383 0.5842 0.9149
S41 S 0.5541 0.2234 0.1383
S42 S 0.1693 0.0842 0.9459
S43 S 0.9149 0.8307 0.7766
S44 S 0.9158 0.0851 0.8617
S45 S 0.4158 0.3617 0.5851
S46 S 0.3307 0.7766 0.4149
S47 S 0.4149 0.2766 0.3307
Au20 Au 0.2500 0.8750 0.1250
S48 S 0.7234 0.1383 0.0541
```

Summary:
formation energy from raw total energies	-0.431	eV/atom

---

Number 1: V 548.5 Å³ per cell. Number 2: V 179.8 Å³ per cell. Number 3: V 570.2 Å³ per cell. Number 4: V 83.2 Å³ per cell. Number 5: V 139.0 Å³ per cell. Number 6: V 153.8 Å³ per cell. Number 7: V 98.4 Å³ per cell. Number 8: V 599.1 Å³ per cell. Number 9: V 96.5 Å³ per cell. Number 10: V 1664.9 Å³ per cell.